Ba2LiZnN: optimized geometry, PBE-GGA.

Structure (extended XYZ):
```
5
Lattice="5.7214 0.0000 0.0000 0.0000 5.7214 0.0000 0.0000 0.0000 4.1055" Properties=species:S:1:pos:R:3 pbc="T T T"
Ba 0.0000 2.8607 0.0000
Ba 2.8607 0.0000 0.0000
Li 0.0000 0.0000 2.0528
Zn 2.8607 2.8607 2.0528
N 0.0000 0.0000 0.0000
```

## Properties
**Uncorrected energy**: -3.259 eV/atom
**Fermi-level density of states**: 2.8 states/eV per cell
**Formation energy (no corrections)**: -0.187 eV per atom
**Space-group type**: P4/mmm, No. 123
**M_tot**: 0.00 μB per atom

---

Ba2Na5Li4: optimized geometry, PBE-GGA.

Structure (extended XYZ):
```
11
Lattice="7.6558 -3.4627 0.0000 7.6558 3.4627 0.0000 -6.9675 0.0000 7.6447" Properties=species:S:1:pos:R:3 pbc="T T T"
Ba 1.6701 0.0000 1.5383
Ba 6.6741 0.0000 6.1065
Na 5.4364 1.7329 2.4331
Na 2.9078 1.7329 5.2117
Na 7.6558 0.0000 0.0000
Na 5.4364 -1.7329 2.4331
Na 2.9078 -1.7329 5.2117
Li -0.2452 0.0000 4.5925
Li -2.4333 0.0000 7.0003
Li 10.7775 0.0000 0.6444
Li 8.5894 0.0000 3.0523
```

## Properties
**Uncorrected energy**: -1.583 eV/atom
**Fermi-level density of states**: 8.7 states/eV per cell
**Calculated formation energy**: 6.0 kJ per mole of atoms
**Space-group type**: C2/m, No. 12
**M_tot**: 0.00 μB per atom